No. 1
DFT (PBE-GGA) results for a relaxed structure of Cs2HfW.

Calculated values
formation energy	2.528	eV/atom
energy	-14.5	eV for the cell shown

The structure in POSCAR format:
```
Cs2HfW
1.0
0.000 4.207 4.207
4.207 0.000 4.207
4.207 4.207 0.000
Cs Hf W
2 1 1
Cartesian
2.103 2.103 2.103 Cs
6.310 6.310 6.310 Cs
0.000 0.000 0.000 Hf
4.207 4.207 4.207 W
```

---

No. 2
DFT (PBE-GGA) results for a relaxed structure of Pu2ScAu.

Calculated values
formation energy	-0.198	eV/atom
energy	-39.1	eV for the cell shown

The structure in POSCAR format:
```
Pu2ScAu
1.0
5.155 0.000 0.000
0.000 4.204 0.000
0.000 0.000 4.204
Sc Au Pu
1 1 2
Cartesian
2.577 0.000 0.000 Sc
2.577 2.102 2.102 Au
0.000 0.000 2.102 Pu
0.000 2.102 0.000 Pu
```

---

No. 3
DFT (PBE-GGA) results for a relaxed structure of HfBe2SiS.

Calculated values
energy	-21.1	eV for the cell shown

The structure in POSCAR format:
```
HfBe2SiS
1.0
4.839 0.000 0.000
0.000 4.724 0.000
0.000 0.000 4.839
Be S Hf Si
2 1 1 1
Cartesian
0.000 0.000 2.420 Be
2.420 0.000 0.000 Be
0.000 2.362 0.000 S
0.000 0.000 0.000 Hf
2.420 2.362 2.420 Si
```

---

No. 4
DFT (PBE-GGA) results for a relaxed structure of Zr2ZnW.

Calculated values
formation energy	0.171	eV/atom
energy	-30.6	eV for the cell shown

The structure in POSCAR format:
```
Zr2ZnW
1.0
-3.297 -7.733 2.842
-0.117 -8.469 2.648
-1.292 -6.988 5.316
W Zn Zr
1 1 2
Cartesian
-1.176 -5.798 2.702 W
-3.529 -17.393 8.105 Zn
-4.691 -23.118 10.772 Zr
-2.368 -11.667 5.437 Zr
```

---

No. 5
DFT (PBE-GGA) results for a relaxed structure of AlMoAs2.

Calculated values
formation energy	0.450	eV/atom
energy	-22.1	eV for the cell shown

The structure in POSCAR format:
```
AlMoAs2
1.0
-0.844 4.465 0.307
-3.682 1.473 2.239
0.467 2.137 3.995
Mo As Al
1 2 1
Cartesian
-3.044 6.056 4.905 Mo
0.000 0.000 0.000 As
-1.015 2.019 1.635 As
-2.029 4.037 3.270 Al
```

---

No. 6
DFT (PBE-GGA) results for a relaxed structure of Rb2ErTlS4.

Calculated values
energy	-68.5	eV for the cell shown

The structure in POSCAR format:
```
Rb2ErTlS4
1.0
8.558 -0.098 0.014
-0.104 8.558 0.014
-4.126 -4.129 5.992
Rb Er Tl S
4 2 2 8
Cartesian
4.279 -0.049 0.007 Rb
2.216 -2.114 3.003 Rb
-2.063 -2.064 2.996 Rb
4.227 4.230 0.014 Rb
-0.052 4.279 0.007 Er
6.443 2.116 3.017 Er
2.164 2.165 3.010 Tl
4.432 -4.227 6.006 Tl
-2.330 2.188 5.760 S
4.406 0.267 3.256 S
-0.079 4.064 2.764 S
6.658 2.143 0.260 S
2.539 2.196 5.816 S
4.297 3.956 3.215 S
0.030 0.375 2.805 S
1.789 2.135 0.205 S
```